Entry 1:
Material: FeCoPb2
Method: DFT, GGA-PBE
State: relaxed

Values from the calculation:
* DFT formation energy: 10.88 kcal/mol of atoms
* total magnetization: 8.42 Bohr magnetons per cell
* DOS at the Fermi energy: 2.90 states/eV/f.u.

abc: 12.559 3.256 4.418
angles: 90.00 110.52 90.00
Space group Cm (No. 8)
Unique sites:
Fe: 0.000 0.000 0.000 [2 per cell]
Co: 0.139 0.500 0.140 [2 per cell]
Pb: 0.184 0.000 0.686 [2 per cell]
Pb: 0.409 0.000 0.409 [2 per cell]



Entry 2:
Material: LaTlSiS4
Method: DFT, GGA-PBE
State: relaxed

Values from the calculation:
* energy relative to the elements, uncorrected: -1236 meV per atom
* total magnetization: 0.00 Bohr magnetons per cell
* DOS at the Fermi energy: 0.00 states/eV/f.u.

abc: 6.676 6.594 8.849
angles: 90.00 106.72 90.00
Space group P2_1/m (No. 11)
Unique sites:
La: 0.238 0.250 0.055 [2 per cell]
Tl: 0.263 0.250 0.569 [2 per cell]
Si: 0.215 0.750 0.818 [2 per cell]
S: 0.007 0.003 0.780 [4 per cell]
S: 0.393 0.750 0.062 [2 per cell]
S: 0.408 0.750 0.666 [2 per cell]



Entry 3:
Material: Sb2MoW
Method: DFT, GGA-PBE
State: relaxed

Values from the calculation:
* energy relative to the elements, uncorrected: 428 meV per atom
* polymorph energy (0 for the lowest one): 24.9 kJ/mol of atoms
* total magnetization: 0.00 Bohr magnetons per cell
* DOS at the Fermi energy: 4.05 states/eV/f.u.

abc: 3.224 4.948 4.747
angles: 90.00 90.00 90.00
Space group Pmm2 (No. 25)
Unique sites:
Sb: 0.000 0.000 0.000 [1 per cell]
Sb: 0.500 0.500 0.233 [1 per cell]
Mo: 0.500 0.000 0.511 [1 per cell]
W: 0.000 0.500 0.720 [1 per cell]



Entry 4:
Material: ZnSeBr2
Method: DFT, GGA-PBE
State: relaxed

Values from the calculation:
* energy relative to the elements, uncorrected: -9 meV per atom
* polymorph energy (0 for the lowest one): 41.3 kJ/mol of atoms
* total magnetization: 8.00 Bohr magnetons per cell
* DOS at the Fermi energy: 0.80 states/eV/f.u.

abc: 7.385 7.385 9.706
angles: 90.00 90.00 90.00
Space group I-42d (No. 122)
Unique sites:
Zn: 0.000 0.000 0.000 [4 per cell]
Se: 0.000 0.000 0.500 [4 per cell]
Br: 0.149 0.250 0.125 [8 per cell]



Entry 5:
Material: Tb8Co2Cu
Method: DFT, GGA-PBE
State: relaxed

Values from the calculation:
* DFT formation energy: -0.42 kcal/mol of atoms
* total magnetization: 0.00 Bohr magnetons per cell
* DOS at the Fermi energy: 11.31 states/eV/f.u.

abc: 8.201 12.197 6.049
angles: 90.00 106.81 90.00
Space group Cm (No. 8)
Unique sites:
Tb: 0.000 0.000 0.000 [2 per cell]
Tb: 0.072 0.366 0.798 [4 per cell]
Tb: 0.154 0.136 0.582 [4 per cell]
Tb: 0.230 0.500 0.391 [2 per cell]
Tb: 0.358 0.221 0.193 [4 per cell]
Co: 0.365 0.312 0.694 [4 per cell]
Cu: 0.364 0.000 0.372 [2 per cell]



Entry 6:
Material: CePrHg5
Method: DFT, GGA-PBE
State: relaxed

Values from the calculation:
* DFT formation energy: -5.74 kcal/mol of atoms
* total magnetization: 1.18 Bohr magnetons per cell
* DOS at the Fermi energy: 10.82 states/eV/f.u.

abc: 4.877 4.877 8.361
angles: 90.00 90.00 90.00
Space group P4/mmm (No. 123)
Unique sites:
Ce: 0.000 0.000 0.000 [1 per cell]
Pr: 0.500 0.500 0.500 [1 per cell]
Hg: 0.000 0.500 0.257 [4 per cell]
Hg: 0.500 0.500 0.000 [1 per cell]



> Look up the total magnetization of the first one.

8.42 Bohr magnetons per cell